[1]
# CdRuSe2

A relaxed structure of CdRuSe2 (PBE-GGA, Alexandria via LeMat-Bulk).

Calculated values
The volume is 75.17 Å³/cell. Its total energy is -14.567 eV/f.u. For the raw formation energy, the calculation gives 0.648 eV/atom.

CIF file:
```
data_CdRuSe2
_cell_length_a 4.7372
_cell_length_b 4.7372
_cell_length_c 4.7372
_cell_angle_alpha 60.00
_cell_angle_beta 60.00
_cell_angle_gamma 60.00
_symmetry_space_group_name_H-M 'P 1'
_symmetry_Int_Tables_number 1
loop_
_symmetry_equiv_pos_as_xyz
'x,y,z'
loop_
_atom_site_label
_atom_site_type_symbol
_atom_site_fract_x
_atom_site_fract_y
_atom_site_fract_z
Cd1 Cd 0.0000 0.0000 0.0000
Ru1 Ru 0.2500 0.2500 0.2500
Se1 Se 0.5000 0.5000 0.5000
Se2 Se 0.7500 0.7500 0.7500
```

[2]
# Cd2RuSe

A relaxed structure of Cd2RuSe (PBE-GGA, Alexandria via LeMat-Bulk).

Calculated values
The volume is 75.01 Å³/cell. Its total energy is -13.291 eV/f.u. For the raw formation energy, the calculation gives 0.325 eV/atom.

CIF file:
```
data_Cd2RuSe
_cell_length_a 5.2241
_cell_length_b 5.2241
_cell_length_c 5.2241
_cell_angle_alpha 132.94
_cell_angle_beta 132.94
_cell_angle_gamma 68.74
_symmetry_space_group_name_H-M 'P 1'
_symmetry_Int_Tables_number 1
loop_
_symmetry_equiv_pos_as_xyz
'x,y,z'
loop_
_atom_site_label
_atom_site_type_symbol
_atom_site_fract_x
_atom_site_fract_y
_atom_site_fract_z
Cd1 Cd 0.0000 0.0000 0.0000
Cd2 Cd 0.7500 0.2500 0.5000
Ru1 Ru 0.2500 0.7500 0.5000
Se1 Se 0.5000 0.5000 0.0000
```

[3]
# CdRu3Se

A relaxed structure of CdRu3Se (PBE-GGA, Alexandria via LeMat-Bulk).

Calculated values
The volume is 120.89 Å³/cell. Its total energy is -21.095 eV/f.u. For the raw formation energy, the calculation gives 2.226 eV/atom.

CIF file:
```
data_CdRu3Se
_cell_length_a 4.9446
_cell_length_b 4.9446
_cell_length_c 4.9446
_cell_angle_alpha 90.00
_cell_angle_beta 90.00
_cell_angle_gamma 90.00
_symmetry_space_group_name_H-M 'P 1'
_symmetry_Int_Tables_number 1
loop_
_symmetry_equiv_pos_as_xyz
'x,y,z'
loop_
_atom_site_label
_atom_site_type_symbol
_atom_site_fract_x
_atom_site_fract_y
_atom_site_fract_z
Cd1 Cd 0.0000 0.0000 0.0000
Ru1 Ru 0.0000 0.0000 0.5000
Ru2 Ru 0.0000 0.5000 0.0000
Ru3 Ru 0.5000 0.0000 0.0000
Se1 Se 0.5000 0.5000 0.5000
```

Question: Which value of volume does entry 1 give?
Answer: 75.17 Å³/cell

Question: The highest raw formation energy belongs to which entry?
Answer: CdRu3Se